1.
# Al2CrTc

A relaxed structure of Al2CrTc (GGA-PBE, Alexandria).

Summary:
The value obtained for the total moment is 0.0 μB per formula unit. As for the total energy: -7.002 eV per atom. The calculation puts the volume at 54.90 Å³/cell. Its calculated density is 6.2 Mg/m³. Its calculated formation energy is -0.134 eV/atom. Its offset from the most stable computed form is 0.162 eV per atom.

a b c (Å): 6.601 6.601 4.890
angles (deg): 52.19 153.24 142.44
Atoms (fractional coordinates):
Cr 0.000 0.000 0.000
Tc 0.000 0.500 0.500
Al 0.992 0.246 0.238
Al 0.008 0.754 0.762


2.
# AlCr2Tc

A relaxed structure of AlCr2Tc (GGA-PBE, Alexandria).

Summary:
The value obtained for the total moment is 0.0 μB per formula unit. As for the total energy: -8.283 eV per atom. The calculation puts the volume at 52.80 Å³/cell. Its calculated density is 7.2 Mg/m³. Its calculated formation energy is 0.055 eV/atom.

a b c (Å): 2.597 2.597 8.323
angles (deg): 90.00 90.00 109.82
Atoms (fractional coordinates):
Cr 0.000 0.000 0.001
Cr 0.000 0.000 0.499
Tc 0.500 0.500 0.250
Al 0.500 0.500 0.750


3.
# AlCrTc2

A relaxed structure of AlCrTc2 (GGA-PBE, Alexandria).

Summary:
The value obtained for the total moment is 0.0 μB per formula unit. As for the total energy: -8.568 eV per atom. The calculation puts the volume at 55.23 Å³/cell. Its calculated density is 8.3 Mg/m³. Its calculated formation energy is -0.044 eV/atom.

a b c (Å): 5.019 4.935 2.680
angles (deg): 78.48 81.87 118.04
Atoms (fractional coordinates):
Cr 0.500 0.500 0.000
Tc 0.000 0.000 0.000
Tc 0.500 0.000 0.500
Al 0.000 0.500 0.500


4.
# Al2CrTc

A relaxed structure of Al2CrTc (GGA-PBE, Alexandria).

Summary:
The value obtained for the total moment is 0.0 μB per formula unit. As for the total energy: -6.920 eV per atom. The calculation puts the volume at 57.73 Å³/cell. Its calculated density is 5.9 Mg/m³. Its calculated formation energy is -0.051 eV/atom. Its offset from the most stable computed form is 0.245 eV per atom.

a b c (Å): 8.611 8.611 8.611
angles (deg): 18.76 18.76 18.76
Atoms (fractional coordinates):
Cr 0.496 0.496 0.496
Tc 0.755 0.755 0.755
Al 0.003 0.003 0.003
Al 0.245 0.245 0.245


5.
# Al2CrTc

A relaxed structure of Al2CrTc (GGA-PBE, Alexandria).

Summary:
The value obtained for the total moment is 0.0 μB per formula unit. As for the total energy: -6.945 eV per atom. The calculation puts the volume at 55.38 Å³/cell. Its calculated density is 6.1 Mg/m³. Its calculated formation energy is -0.077 eV/atom. Its offset from the most stable computed form is 0.220 eV per atom.

a b c (Å): 2.662 2.662 8.215
angles (deg): 90.00 90.00 107.90
Atoms (fractional coordinates):
Cr 0.500 0.500 0.250
Tc 0.500 0.500 0.750
Al 0.000 0.000 0.007
Al 0.000 0.000 0.493


6.
# Al2CrTc

A relaxed structure of Al2CrTc (GGA-PBE, Alexandria).

Summary:
The value obtained for the total moment is 3.4 μB per formula unit. As for the total energy: -7.043 eV per atom. The calculation puts the volume at 56.65 Å³/cell. Its calculated density is 6.0 Mg/m³. Its calculated formation energy is -0.174 eV/atom. Its offset from the most stable computed form is 0.122 eV per atom.

a b c (Å): 4.202 4.202 3.208
angles (deg): 90.00 90.00 90.00
Atoms (fractional coordinates):
Cr 0.500 0.000 0.500
Tc 0.000 0.500 0.500
Al 0.000 0.000 0.000
Al 0.500 0.500 0.000


7.
# AlCrTc2

A relaxed structure of AlCrTc2 (GGA-PBE, Alexandria).

Summary:
The value obtained for the total moment is 0.0 μB per formula unit. As for the total energy: -8.717 eV per atom. The calculation puts the volume at 54.61 Å³/cell. Its calculated density is 8.4 Mg/m³. Its calculated formation energy is -0.193 eV/atom.

a b c (Å): 2.968 2.968 6.199
angles (deg): 90.00 90.00 90.00
Atoms (fractional coordinates):
Cr 0.500 0.500 0.750
Tc 0.000 0.000 0.987
Tc 0.000 0.000 0.513
Al 0.500 0.500 0.250


8.
# AlCrTc2

A relaxed structure of AlCrTc2 (GGA-PBE, Alexandria).

Summary:
The value obtained for the total moment is 0.0 μB per formula unit. As for the total energy: -8.536 eV per atom. The calculation puts the volume at 55.88 Å³/cell. Its calculated density is 8.2 Mg/m³. Its calculated formation energy is -0.011 eV/atom.

a b c (Å): 8.688 8.688 8.688
angles (deg): 18.20 18.20 18.20
Atoms (fractional coordinates):
Cr 0.250 0.250 0.250
Tc 0.997 0.997 0.997
Tc 0.503 0.503 0.503
Al 0.750 0.750 0.750


9.
# Al2CrTc

A relaxed structure of Al2CrTc (GGA-PBE, Alexandria).

Summary:
The value obtained for the total moment is 3.3 μB per formula unit. As for the total energy: -7.032 eV per atom. The calculation puts the volume at 57.29 Å³/cell. Its calculated density is 5.9 Mg/m³. Its calculated formation energy is -0.163 eV/atom. Its offset from the most stable computed form is 0.133 eV per atom.

a b c (Å): 3.150 3.150 5.774
angles (deg): 90.00 90.00 90.00
Atoms (fractional coordinates):
Cr 0.500 0.500 0.250
Tc 0.500 0.500 0.750
Al 0.000 0.000 0.990
Al 0.000 0.000 0.510


10.
# Al2CrTc

A relaxed structure of Al2CrTc (GGA-PBE, Alexandria).

Summary:
The value obtained for the total moment is 0.0 μB per formula unit. As for the total energy: -6.975 eV per atom. The calculation puts the volume at 55.21 Å³/cell. Its calculated density is 6.1 Mg/m³. Its calculated formation energy is -0.107 eV/atom. Its offset from the most stable computed form is 0.189 eV per atom.

a b c (Å): 5.138 4.889 2.669
angles (deg): 80.67 77.83 117.90
Atoms (fractional coordinates):
Cr 0.000 0.500 0.500
Tc 0.500 0.500 0.000
Al 0.000 0.000 0.000
Al 0.500 0.000 0.500


11.
# AlCr2Tc

A relaxed structure of AlCr2Tc (GGA-PBE, Alexandria).

Summary:
The value obtained for the total moment is 2.0 μB per formula unit. As for the total energy: -8.443 eV per atom. The calculation puts the volume at 53.60 Å³/cell. Its calculated density is 7.1 Mg/m³. Its calculated formation energy is -0.104 eV/atom.

a b c (Å): 4.232 4.232 4.232
angles (deg): 60.00 60.00 60.00
Atoms (fractional coordinates):
Cr 0.000 0.000 0.000
Cr 0.250 0.250 0.250
Tc 0.750 0.750 0.750
Al 0.500 0.500 0.500


12.
# AlCrTc2

A relaxed structure of AlCrTc2 (GGA-PBE, Alexandria).

Summary:
The value obtained for the total moment is 0.3 μB per formula unit. As for the total energy: -8.683 eV per atom. The calculation puts the volume at 55.10 Å³/cell. Its calculated density is 8.3 Mg/m³. Its calculated formation energy is -0.158 eV/atom.

a b c (Å): 4.928 4.928 4.360
angles (deg): 63.76 63.76 35.99
Atoms (fractional coordinates):
Cr 0.250 0.250 0.250
Tc 0.989 0.989 0.011
Tc 0.511 0.511 0.489
Al 0.750 0.750 0.750